! CrCoTc | Alexandria | GGA-PBE | relaxed; values from VASP
&SYSTEM
  ibrav = 0, nat = 6, ntyp = 3
/
ATOMIC_SPECIES
Tc 98.00 Tc.upf
Cr 52.00 Cr.upf
Co 58.93 Co.upf
ATOMIC_POSITIONS crystal
Tc 0.092 0.750 0.183
Tc 0.908 0.250 0.817
Cr 0.592 0.250 0.185
Cr 0.408 0.750 0.815
Co 0.751 0.750 0.503
Co 0.249 0.250 0.497
CELL_PARAMETERS angstrom
-3.098 -1.182 1.089
-1.097 -0.337 -3.486
3.557 -4.777 -0.657
! Density of states at the Fermi level = 4.1 states/eV/f.u.
! V = 73.4 Å³ per cell
! Symmetry = Cmcm, No. 63
! Formation energy = 83.3 meV/atom

! CrCoTc | Alexandria | GGA-PBE | relaxed; values from VASP
&SYSTEM
  ibrav = 0, nat = 3, ntyp = 3
/
ATOMIC_SPECIES
Cr 52.00 Cr.upf
Co 58.93 Co.upf
Tc 98.00 Tc.upf
ATOMIC_POSITIONS crystal
Cr 0.339 0.339 0.000
Co 0.996 0.996 0.000
Tc 0.665 0.665 0.000
CELL_PARAMETERS angstrom
4.520 0.000 0.000
2.280 3.903 0.000
-2.990 -2.666 2.094
! Density of states at the Fermi level = 4.2 states/eV/f.u.
! V = 36.9 Å³ per cell
! Symmetry = Imm2, No. 44
! Formation energy = 147.9 meV/atom

! Cr4CoTc4 | Alexandria | GGA-PBE | relaxed; values from VASP
&SYSTEM
  ibrav = 0, nat = 9, ntyp = 3
/
ATOMIC_SPECIES
Cr 52.00 Cr.upf
Tc 98.00 Tc.upf
Co 58.93 Co.upf
ATOMIC_POSITIONS crystal
Cr 0.384 0.154 0.230
Cr 0.770 0.154 0.616
Cr 0.230 0.846 0.770
Cr 0.616 0.846 0.384
Tc 0.043 0.640 0.403
Tc 0.403 0.360 0.597
Tc 0.956 0.360 0.044
Tc 0.597 0.640 0.957
Co 0.000 0.000 0.000
CELL_PARAMETERS angstrom
4.579 0.000 0.001
-2.289 5.751 2.289
0.001 0.000 4.579
! Density of states at the Fermi level = 12.3 states/eV/f.u.
! V = 120.6 Å³ per cell
! Symmetry = I-42m, No. 121
! Formation energy = 364.7 meV/atom